First-principles (PBE) data for ScReSi2 after structural relaxation, as listed in Alexandria.

a b c (Å): 8.1029 3.1714 5.1860
angles (deg): 90.00 101.25 90.00
Element x y z (fractional)
1 Sc 0.0000 0.0000 0.0000
2 Sc 0.5000 0.5000 0.0000
3 Re 0.0000 0.5000 0.5000
4 Re 0.5000 0.0000 0.5000
5 Si 0.2351 0.0000 0.6816
6 Si 0.2649 0.5000 0.3184
7 Si 0.7351 0.5000 0.6816
8 Si 0.7649 0.0000 0.3184

## Properties
Raw formation energy (eV/atom): -0.410
ρ (g/cm³): 7.30
Symmetry: No. 12

First-principles (PBE) data for Pm3Pr6Dy2Sc after structural relaxation, as listed in Alexandria.

a b c (Å): 6.3192 6.3192 11.9369
angles (deg): 95.05 95.05 120.02
Element x y z (fractional)
1 Pm 0.0000 0.0000 0.0000
2 Pm 0.3333 0.6667 0.0000
3 Pm 0.6667 0.3333 0.0000
4 Pr 0.0889 0.4189 0.2559
5 Pr 0.2509 0.2509 0.7445
6 Pr 0.4189 0.0889 0.2559
7 Pr 0.5811 0.9111 0.7441
8 Pr 0.7491 0.7491 0.2555
9 Pr 0.9111 0.5811 0.7441
10 Dy 0.1667 0.8333 0.5000
11 Dy 0.8333 0.1667 0.5000
12 Sc 0.5000 0.5000 0.5000

## Properties
Raw total energy (eV per atom): -4.85
ρ (g/cm³): 6.75
Symmetry: No. 12

First-principles (PBE) data for LaMg2Cd after structural relaxation, as listed in Alexandria.

a b c (Å): 4.6180 4.6180 22.2418
angles (deg): 90.00 90.00 90.00
Element x y z (fractional)
1 La 0.0000 0.0000 0.0000
2 La 0.0000 0.5000 0.2500
3 La 0.5000 0.0000 0.7500
4 La 0.5000 0.5000 0.5000
5 Mg 0.2099 0.2500 0.6250
6 Mg 0.2500 0.7099 0.8750
7 Mg 0.2500 0.7901 0.3750
8 Mg 0.2901 0.2500 0.1250
9 Mg 0.7099 0.7500 0.1250
10 Mg 0.7500 0.2099 0.3750
11 Mg 0.7500 0.2901 0.8750
12 Mg 0.7901 0.7500 0.6250
13 Cd 0.0000 0.0000 0.5000
14 Cd 0.0000 0.5000 0.7500
15 Cd 0.5000 0.0000 0.2500
16 Cd 0.5000 0.5000 0.0000

## Properties
Raw total energy (eV per atom): -2.16
ρ (g/cm³): 4.20
Symmetry: No. 122

no.,N(E_F) (states/eV/atom)
1,0.37
2,1.26
3,0.58